# 1
Material: Cd2AuSe
Method: DFT, GGA-PBE
State: relaxed

Cell and atoms, written as extended XYZ:
```
8
Lattice="3.701 0.000 0.000 0.000 3.852 0.000 0.000 0.000 12.956" Properties=species:S:1:pos:R:3 pbc="T T T"
Cd 0.000 0.000 0.000
Cd 0.000 1.926 3.323
Cd 1.850 0.000 9.802
Cd 1.850 1.926 6.478
Au 0.000 0.000 5.468
Au 1.850 1.926 11.947
Se 0.000 1.926 8.738
Se 1.850 0.000 2.260
```

Output
The value obtained for the density of states at the Fermi level is 0.30 states/eV/atom. For the magnetic moment, the calculation gives 0.0 μB per cell. The energy is -2.31 eV/atom. As for the space-group type: Imm2, No. 44.

=====

# 2
Material: CrSbOsW2
Method: DFT, GGA-PBE
State: relaxed

Cell and atoms, written as extended XYZ:
```
5
Lattice="4.557 0.000 0.000 0.000 4.557 0.000 0.000 0.000 4.513" Properties=species:S:1:pos:R:3 pbc="T T T"
Cr 0.000 0.000 0.000
Sb 2.278 2.278 2.257
Os 0.000 0.000 2.257
W 0.000 2.278 0.000
W 2.278 0.000 0.000
```

Output
The value obtained for the density of states at the Fermi level is 1.15 states/eV/atom. For the magnetic moment, the calculation gives 0.4 μB per cell. The energy is -8.67 eV/atom. As for the space-group type: P4/mmm, No. 123.

=====

# 3
Material: BaAsOsSe2
Method: DFT, GGA-PBE
State: relaxed

Cell and atoms, written as extended XYZ:
```
5
Lattice="6.067 0.000 0.000 0.000 6.067 0.000 0.000 0.000 6.210" Properties=species:S:1:pos:R:3 pbc="T T T"
Ba 0.000 0.000 0.000
As 0.000 0.000 3.105
Os 3.033 3.033 3.105
Se 0.000 3.033 0.000
Se 3.033 0.000 0.000
```

Output
The value obtained for the density of states at the Fermi level is 1.53 states/eV/atom. For the magnetic moment, the calculation gives 4.0 μB per cell. The energy is -3.12 eV/atom. As for the distance to the lowest polymorph of the same formula: 2202 meV/atom. As for the space-group type: P4/mmm, No. 123.

=====

# 4
Material: Rb4TlAu2
Method: DFT, GGA-PBE
State: relaxed

Cell and atoms, written as extended XYZ:
```
7
Lattice="3.020 1.743 10.471 -3.020 1.743 10.471 0.000 -3.487 10.471" Properties=species:S:1:pos:R:3 pbc="T T T"
Rb 0.000 0.000 3.594
Rb 0.000 0.000 9.185
Rb 0.000 0.000 22.229
Rb 0.000 0.000 27.820
Tl 0.000 0.000 15.707
Au 0.000 0.000 12.810
Au 0.000 0.000 18.604
```

Output
The value obtained for the density of states at the Fermi level is 0.51 states/eV/atom. For the magnetic moment, the calculation gives 0.0 μB per cell. The energy is -2.00 eV/atom. The value obtained for the energy of formation is -17 kJ/mol of atoms. As for the space-group type: R-3m, No. 166.

=====

# 5
Material: Ce2HoHgN
Method: DFT, GGA-PBE
State: relaxed

Cell and atoms, written as extended XYZ:
```
5
Lattice="4.877 0.000 0.000 0.000 4.877 0.000 0.000 0.000 4.837" Properties=species:S:1:pos:R:3 pbc="T T T"
Ce 0.000 2.438 0.000
Ce 2.438 0.000 0.000
Ho 0.000 0.000 2.418
Hg 2.438 2.438 2.418
N 0.000 0.000 0.000
```

Output
The value obtained for the density of states at the Fermi level is 1.89 states/eV/atom. For the magnetic moment, the calculation gives 1.2 μB per cell. The energy is -5.78 eV/atom. As for the space-group type: P4/mmm, No. 123.

=====

# 6
Material: Li2GaPd8
Method: DFT, GGA-PBE
State: relaxed

Cell and atoms, written as extended XYZ:
```
11
Lattice="6.935 -2.005 0.000 6.935 2.005 0.000 -1.636 0.000 5.853" Properties=species:S:1:pos:R:3 pbc="T T T"
Li 2.887 0.000 0.845
Li 9.347 0.000 5.008
Ga 6.117 0.000 2.926
Pd 0.243 0.000 1.358
Pd 0.837 0.000 4.060
Pd 3.494 0.000 3.421
Pd 5.551 0.000 0.289
Pd 6.684 0.000 5.564
Pd 8.740 0.000 2.431
Pd 11.397 0.000 1.793
Pd 11.991 0.000 4.495
```

Output
The value obtained for the density of states at the Fermi level is 0.85 states/eV/atom. For the magnetic moment, the calculation gives 0.0 μB per cell. The energy is -4.73 eV/atom. The value obtained for the energy of formation is -32 kJ/mol of atoms. As for the distance to the lowest polymorph of the same formula: 0 meV/atom. As for the space-group type: C2/m, No. 12.

=====

# 7
Material: Dy2AlNi
Method: DFT, GGA-PBE
State: relaxed

Cell and atoms, written as extended XYZ:
```
4
Lattice="3.414 0.000 0.000 0.000 3.414 0.000 0.000 0.000 7.337" Properties=species:S:1:pos:R:3 pbc="T T T"
Dy 0.000 0.000 1.652
Dy 0.000 0.000 5.685
Al 1.707 1.707 3.669
Ni 1.707 1.707 0.000
```

Output
The value obtained for the density of states at the Fermi level is 0.65 states/eV/atom. For the magnetic moment, the calculation gives 0.0 μB per cell. The energy is -5.07 eV/atom. The value obtained for the energy of formation is -38 kJ/mol of atoms. As for the distance to the lowest polymorph of the same formula: 0 meV/atom. As for the space-group type: P4/mmm, No. 123.

=====

# 8
Material: HoAsF
Method: DFT, GGA-PBE
State: relaxed

Cell and atoms, written as extended XYZ:
```
12
Lattice="10.794 0.000 0.000 0.000 4.187 0.000 -3.391 0.000 5.363" Properties=species:S:1:pos:R:3 pbc="T T T"
Ho 1.598 0.000 1.257
Ho 0.408 2.093 4.106
Ho 6.995 2.093 1.257
Ho 5.804 0.000 4.106
As -1.789 0.000 3.898
As 3.795 2.093 1.465
As 3.607 2.093 3.898
As 9.192 0.000 1.465
F 0.813 2.093 1.883
F 1.193 0.000 3.481
F 6.209 0.000 1.883
F 6.590 2.093 3.481
```

Output
For the magnetic moment, the calculation gives 0.0 μB per cell. The energy is -5.87 eV/atom. As for the distance to the lowest polymorph of the same formula: 173 meV/atom. As for the space-group type: C2/m, No. 12.

=====

# 9
Material: CaCu2
Method: DFT, GGA-PBE
State: relaxed

Cell and atoms, written as extended XYZ:
```
12
Lattice="4.915 0.000 0.000 0.000 4.915 0.000 0.000 0.000 9.634" Properties=species:S:1:pos:R:3 pbc="T T T"
Ca 0.000 0.000 2.409
Ca 0.000 0.000 7.226
Ca 2.458 2.458 2.409
Ca 2.458 2.458 7.226
Cu 0.867 1.590 0.000
Cu 0.867 3.325 4.817
Cu 1.590 0.867 4.817
Cu 1.590 4.048 0.000
Cu 3.325 0.867 0.000
Cu 3.325 4.048 4.817
Cu 4.048 1.590 4.817
Cu 4.048 3.325 0.000
```

Output
The value obtained for the density of states at the Fermi level is 0.48 states/eV/atom. For the magnetic moment, the calculation gives 0.0 μB per cell. The energy is -3.41 eV/atom. The value obtained for the energy of formation is -1 kJ/mol of atoms. As for the space-group type: I4/mcm, No. 140.

=====

# 10
Material: SbPSeCl2
Method: DFT, GGA-PBE
State: relaxed

Cell and atoms, written as extended XYZ:
```
5
Lattice="4.871 0.000 0.000 0.000 4.871 0.000 0.000 0.000 5.225" Properties=species:S:1:pos:R:3 pbc="T T T"
Sb 0.000 0.000 0.000
P 2.436 2.436 0.000
Se 2.436 2.436 2.612
Cl 0.000 2.436 2.612
Cl 2.436 0.000 2.612
```

Output
The value obtained for the density of states at the Fermi level is 0.81 states/eV/atom. For the magnetic moment, the calculation gives 0.8 μB per cell. The energy is -2.83 eV/atom. As for the distance to the lowest polymorph of the same formula: 87 meV/atom. As for the space-group type: P4/mmm, No. 123.

=====

# 11
Material: AcRe2AgO8
Method: DFT, GGA-PBE
State: relaxed

Cell and atoms, written as extended XYZ:
```
12
Lattice="6.883 0.000 0.000 -3.442 5.961 0.000 0.000 0.000 6.671" Properties=species:S:1:pos:R:3 pbc="T T T"
Ac 0.000 0.000 0.000
Re 0.000 3.974 1.653
Re 3.442 1.987 5.018
Ag 0.000 0.000 3.335
O -0.013 2.290 1.098
O -1.452 4.827 1.098
O 0.000 3.974 3.388
O 1.977 1.156 5.573
O 1.464 4.805 1.098
O 3.442 1.987 3.283
O 4.893 1.134 5.573
O 3.454 3.671 5.573
```

Output
The value obtained for the density of states at the Fermi level is 0.13 states/eV/atom. For the magnetic moment, the calculation gives 0.0 μB per cell. The energy is -7.68 eV/atom. As for the space-group type: P-3, No. 147.

=====

# 12
Material: Sr2ZnAuN
Method: DFT, GGA-PBE
State: relaxed

Cell and atoms, written as extended XYZ:
```
10
Lattice="7.378 0.000 0.000 0.000 3.973 0.000 -2.723 0.000 8.206" Properties=species:S:1:pos:R:3 pbc="T T T"
Sr 0.281 0.993 3.102
Sr -1.209 0.993 7.885
Sr 5.863 2.980 0.321
Sr 4.374 2.980 5.105
Zn 2.637 2.980 2.082
Zn 2.017 0.993 6.125
Au 0.349 2.980 5.729
Au 4.305 0.993 2.477
N 0.827 2.980 1.379
N 3.827 0.993 6.827
```

Output
The value obtained for the density of states at the Fermi level is 0.38 states/eV/atom. For the magnetic moment, the calculation gives 0.0 μB per cell. The energy is -3.80 eV/atom. As for the distance to the lowest polymorph of the same formula: 0 meV/atom. As for the space-group type: P2_1/m, No. 11.